This record from Alexandria describes a relaxed structure of GaW2O. The functional is GGA+U.

Output
uncorrected energy = -4.71 eV/atom
ρ = 13.5 g/cm3
D(E_F) = 2.80 states/eV per cell

a = 4.294 Å, b = 4.294 Å, c = 4.294 Å
α = 60.00°, β = 60.00°, γ = 60.00°
Fractional positions:
Ga: 0.000 0.000 0.000
W: 0.250 0.250 0.250
W: 0.750 0.750 0.750
O: 0.500 0.500 0.500